Record 1
## TbPr12Mg3 (PBE-GGA)

Data for an optimized crystal structure of TbPr12Mg3.

Lattice parameters (Å, degrees): 5.0975 5.0975 20.5503 90.00 90.00 90.00
Sites, in units of the cell vectors:
Tb 0.0000 0.0000 0.0000
Pr 0.0000 0.5000 0.1281
Pr 0.0000 0.5000 0.3765
Pr 0.0000 0.5000 0.6235
Pr 0.0000 0.5000 0.8719
Pr 0.5000 0.0000 0.1281
Pr 0.5000 0.0000 0.3765
Pr 0.5000 0.0000 0.6235
Pr 0.5000 0.0000 0.8719
Pr 0.5000 0.5000 0.0000
Pr 0.5000 0.5000 0.2528
Pr 0.5000 0.5000 0.5000
Pr 0.5000 0.5000 0.7472
Mg 0.0000 0.0000 0.2537
Mg 0.0000 0.0000 0.5000
Mg 0.0000 0.0000 0.7463

Output
- raw total energy (eV/cell) = -66.841

Record 2
## Tl4InHg (PBE-GGA)

Data for an optimized crystal structure of Tl4InHg.

Lattice parameters (Å, degrees): 10.1406 10.1406 10.1406 60.00 60.00 60.00
Sites, in units of the cell vectors:
Tl 0.0600 0.0600 0.4400
Tl 0.0600 0.4400 0.0600
Tl 0.0600 0.4400 0.4400
Tl 0.1423 0.6192 0.6192
Tl 0.1845 0.1845 0.8155
Tl 0.1845 0.8155 0.1845
Tl 0.1845 0.8155 0.8155
Tl 0.4400 0.0600 0.0600
Tl 0.4400 0.0600 0.4400
Tl 0.4400 0.4400 0.0600
Tl 0.6192 0.1423 0.6192
Tl 0.6192 0.6192 0.1423
Tl 0.6192 0.6192 0.6192
Tl 0.8155 0.1845 0.1845
Tl 0.8155 0.1845 0.8155
Tl 0.8155 0.8155 0.1845
In 0.4972 0.8343 0.8343
In 0.8343 0.4972 0.8343
In 0.8343 0.8343 0.4972
In 0.8343 0.8343 0.8343
Hg 0.4077 0.4077 0.4077
Hg 0.4077 0.4077 0.7769
Hg 0.4077 0.7769 0.4077
Hg 0.7769 0.4077 0.4077

Output
- energy above the lowest structure with this stoichiometry (eV/atom) = 0.0094